Record 1
## Al3V12Cu (PBE)

Data for crystalline Al3V12Cu at its relaxed geometry.

Cell lengths 4.783, 4.760, 9.605 Å; angles 90.00, 90.00, 90.00 degrees
Sites, in units of the cell vectors:
V 0.000 0.248 0.746
V 0.000 0.248 0.254
V 0.259 0.500 0.000
V 0.500 0.000 0.382
Cu 0.000 0.000 0.500
Al 0.500 0.500 0.251
V 0.500 0.000 0.618
V 0.000 0.752 0.746
V 0.753 0.500 0.500
V 0.741 0.500 0.000
V 0.500 0.000 0.870
Al 0.000 0.000 0.000
Al 0.500 0.500 0.749
V 0.500 0.000 0.130
V 0.000 0.752 0.254
V 0.247 0.500 0.500

**Volume**: 13.7 Å³ per atom
**Space group**: Pmmm, No. 47
**Mass density**: 5.7 g/cm3
**Calculated total energy**: -7.887 eV/atom
**ΔE_f**: -0.090 eV per atom

---

Record 2
## Ca5DyIn3 (PBE)

Data for crystalline Ca5DyIn3 at its relaxed geometry.

Cell lengths 7.084, 9.535, 9.534 Å; angles 120.00, 90.00, 90.00 degrees
Sites, in units of the cell vectors:
In 0.750 0.000 0.681
Ca 0.750 0.660 0.660
Ca 0.750 0.000 0.340
Ca 0.000 0.667 0.333
Ca 0.250 0.660 0.000
In 0.750 0.319 0.319
Dy 0.500 0.000 0.000
Ca 0.250 0.340 0.340
Ca 0.500 0.667 0.333
Dy 0.000 0.000 0.000
In 0.750 0.681 0.000
In 0.250 0.319 0.000
Ca 0.000 0.333 0.667
Ca 0.250 0.000 0.660
Ca 0.750 0.340 0.000
In 0.250 0.000 0.319
Ca 0.500 0.333 0.667
In 0.250 0.681 0.681

**Volume**: 31.0 Å³ per atom
**Space group**: P6_3/mcm, No. 193
**Mass density**: 4.2 g/cm3
**Calculated total energy**: -2.873 eV/atom
**ΔE_f**: -0.337 eV per atom

---

Record 3
## PrSn2S4 (PBE)

Data for crystalline PrSn2S4 at its relaxed geometry.

Cell lengths 3.942, 6.882, 13.358 Å; angles 90.00, 90.00, 106.64 degrees
Sites, in units of the cell vectors:
Sn 0.869 0.737 0.935
Pr 0.386 0.773 0.250
S 0.220 0.439 0.623
S 0.780 0.561 0.123
S 0.220 0.439 0.877
Pr 0.614 0.227 0.750
S 0.959 0.919 0.750
Sn 0.131 0.263 0.435
S 0.500 0.000 0.000
S 0.780 0.561 0.377
S 0.500 0.000 0.500
Sn 0.869 0.737 0.565
S 0.041 0.081 0.250
Sn 0.131 0.263 0.065

**Volume**: 24.8 Å³ per atom
**Space group**: Cmcm, No. 63
**Mass density**: 4.8 g/cm3
**Calculated total energy**: -5.111 eV/atom
**Uncorrected formation energy**: -6.482 eV/f.u.

---

Record 4
## KMnBe2 (PBE)

Data for crystalline KMnBe2 at its relaxed geometry.

Cell lengths 4.870, 4.870, 2.695 Å; angles 90.00, 90.00, 89.98 degrees
Site moments in Bohr magnetons follow the coordinates.
Sites, in units of the cell vectors:
Mn 0.000 0.500 0.500  3.39
K 0.500 0.000 0.500  -0.04
Be 0.500 0.500 0.000  -0.10
Be 0.000 0.000 0.000  -0.10

**Volume**: 16.0 Å³ per atom
**Energy above the most stable polymorph in this dataset**: 658 meV/atom
**Space group**: P4/mmm, No. 123
**Mass density**: 2.9 g/cm3
**Calculated total energy**: -3.315 eV/atom
**ΔE_f**: 1.115 eV per atom

---

Record 5
## KLa2Pd2 (PBE)

Data for crystalline KLa2Pd2 at its relaxed geometry.

Cell lengths 5.262, 5.262, 6.747 Å; angles 67.05, 67.05, 90.00 degrees
Sites, in units of the cell vectors:
La 0.750 0.250 0.500
K 0.000 0.000 0.000
Pd 0.621 0.621 0.757
Pd 0.379 0.379 0.243
La 0.250 0.750 0.500

**Volume**: 31.2 Å³ per atom
**Space group**: I4/mmm, No. 139
**Mass density**: 5.6 g/cm3
**Calculated total energy**: -4.598 eV/atom
**ΔE_f**: -0.330 eV per atom

---

Record 6
## Tb3PmSm4 (PBE)

Data for crystalline Tb3PmSm4 at its relaxed geometry.

Cell lengths 7.216, 7.217, 10.181 Å; angles 90.00, 90.00, 90.00 degrees
Sites, in units of the cell vectors:
Sm 0.249 0.561 0.250
Pm 0.500 0.811 0.000
Sm 0.751 0.061 0.250
Sm 0.000 0.311 0.500
Sm 0.500 0.810 0.500
Tb 0.249 0.061 0.750
Pm 0.500 0.311 0.500
Tb 0.751 0.561 0.250
Tb 0.000 0.311 0.000
Sm 0.500 0.310 0.000
Sm 0.751 0.061 0.750
Sm 0.000 0.811 0.000
Tb 0.000 0.811 0.500
Tb 0.751 0.561 0.750
Tb 0.249 0.061 0.250
Sm 0.249 0.561 0.750

**Volume**: 33.1 Å³ per atom
**Energy above the most stable polymorph in this dataset**: 0 meV/atom
**Space group**: Pmna, No. 53
**Mass density**: 7.7 g/cm3
**Calculated total energy**: -4.675 eV/atom
**ΔE_f**: 0.015 eV per atom

---

Record 7
## CdAg6Sb (PBE)

Data for crystalline CdAg6Sb at its relaxed geometry.

Cell lengths 4.863, 6.041, 6.041 Å; angles 120.02, 90.00, 90.00 degrees
Sites, in units of the cell vectors:
Ag 0.000 0.074 0.412
Ag 0.500 0.917 0.583
Ag 0.500 0.417 0.083
Ag 0.000 0.588 0.412
Cd 0.000 0.083 0.917
Ag 0.000 0.588 0.926
Ag 0.500 0.916 0.084
Sb 0.500 0.417 0.583

**Volume**: 19.2 Å³ per atom
**Space group**: P-6m2, No. 187
**Mass density**: 9.5 g/cm3
**Calculated total energy**: -2.748 eV/atom
**Uncorrected formation energy**: 0.158 eV/f.u.

---

Record 8
## MnBi3Pd12 (PBE)

Data for crystalline MnBi3Pd12 at its relaxed geometry.

Cell lengths 4.092, 4.092, 16.290 Å; angles 90.00, 90.00, 90.00 degrees
Site moments in Bohr magnetons follow the coordinates.
Sites, in units of the cell vectors:
Pd 0.500 0.500 0.248  0.04
Pd 0.000 0.500 0.372  0.01
Bi 0.000 0.000 0.763  0.02
Pd 0.000 0.500 0.115  0.09
Pd 0.000 0.500 0.628  0.01
Pd 0.500 0.000 0.115  0.09
Pd 0.500 0.500 0.500  0.01
Pd 0.500 0.500 0.000  0.13
Pd 0.500 0.500 0.752  0.04
Pd 0.000 0.500 0.885  0.09
Bi 0.000 0.000 0.500  0.01
Pd 0.500 0.000 0.885  0.09
Pd 0.500 0.000 0.628  0.01
Mn 0.000 0.000 0.000  4.05
Pd 0.500 0.000 0.372  0.01
Bi 0.000 0.000 0.237  0.02

**Volume**: 17.0 Å³ per atom
**Space group**: P4/mmm, No. 123
**Mass density**: 11.9 g/cm3
**Calculated total energy**: -5.442 eV/atom
**ΔE_f**: -0.247 eV per atom